# 1
Computed, not measured: an optimized crystal structure of Ca5Pb2 at the GGA-PBE level of DFT.

Properties
V: 33.55 A^3/atom
Raw total energy: -0.213 Ry/atom
DFT formation energy: -9.52 kcal/mol of atoms
Total magnetization: 0.1493 μB per atom
ΔE to the lowest computed polymorph: 0.0235 eV per atom

Cell: 9.645 9.645 9.645 Å, 128.82 69.15 136.81°
Atoms (fractional coordinates):
Ca 0.020 0.250 0.770
Ca 0.084 0.654 0.738
Ca 0.250 0.250 0.000
Ca 0.416 0.154 0.570
Ca 0.480 0.250 0.230
Ca 0.520 0.750 0.770
Ca 0.584 0.846 0.430
Ca 0.750 0.750 0.000
Ca 0.916 0.346 0.262
Ca 0.980 0.750 0.230
Pb 0.125 0.270 0.394
Pb 0.375 0.770 0.145
Pb 0.625 0.230 0.855
Pb 0.875 0.730 0.606

---

# 2
Computed, not measured: an optimized crystal structure of CaPb at the GGA-PBE level of DFT.

Properties
V: 60.24 A^3/atom
Raw total energy: -0.181 Ry/atom
DFT formation energy: 9.16 kcal/mol of atoms
Total magnetization: 0.5509 μB per atom

Cell: 8.975 8.975 8.975 Å, 90.00 90.00 90.00°
Atoms (fractional coordinates):
Ca 0.000 0.250 0.500
Ca 0.000 0.750 0.500
Ca 0.250 0.500 0.000
Ca 0.500 0.000 0.250
Ca 0.500 0.000 0.750
Ca 0.750 0.500 0.000
Pb 0.000 0.500 0.250
Pb 0.000 0.500 0.750
Pb 0.250 0.000 0.500
Pb 0.500 0.250 0.000
Pb 0.500 0.750 0.000
Pb 0.750 0.000 0.500

---

# 3
Computed, not measured: an optimized crystal structure of CaPb at the GGA-PBE level of DFT.

Properties
V: 31.95 A^3/atom
Raw total energy: -0.240 Ry/atom
DFT formation energy: -9.57 kcal/mol of atoms
Total magnetization: 0.0000 μB per atom

Cell: 3.798 3.798 5.114 Å, 90.00 90.00 120.00°
Atoms (fractional coordinates):
Ca 0.000 0.000 0.000
Pb 0.667 0.333 0.500

---

# 4
Computed, not measured: an optimized crystal structure of CaPb at the GGA-PBE level of DFT.

Properties
V: 31.33 A^3/atom
Raw total energy: -0.241 Ry/atom
DFT formation energy: -9.87 kcal/mol of atoms
Total magnetization: 0.0000 μB per atom

Cell: 6.832 6.832 6.832 Å, 145.88 135.06 57.61°
Atoms (fractional coordinates):
Ca 0.367 0.117 0.250
Ca 0.633 0.883 0.750
Pb 0.111 0.361 0.750
Pb 0.889 0.639 0.250

---

# 5
Computed, not measured: an optimized crystal structure of CaPb3 at the GGA-PBE level of DFT.

Properties
V: 31.87 A^3/atom
Raw total energy: -0.251 Ry/atom
DFT formation energy: -2.96 kcal/mol of atoms
Total magnetization: 0.0000 μB per atom

Cell: 3.680 3.680 10.866 Å, 90.00 90.00 120.00°
Atoms (fractional coordinates):
Ca 0.000 0.000 0.000
Pb 0.000 0.000 0.500
Pb 0.667 0.333 0.244
Pb 0.667 0.333 0.756

---

# 6
Computed, not measured: an optimized crystal structure of CaPb at the GGA-PBE level of DFT.

Properties
V: 57.61 A^3/atom
Raw total energy: -0.197 Ry/atom
DFT formation energy: 4.16 kcal/mol of atoms
Total magnetization: 0.2718 μB per atom

Cell: 8.428 8.428 8.428 Å, 109.47 109.47 109.47°
Atoms (fractional coordinates):
Ca 0.000 0.000 0.606
Ca 0.000 0.606 0.000
Ca 0.394 0.394 0.394
Ca 0.606 0.000 0.000
Pb 0.000 0.000 0.236
Pb 0.000 0.236 0.000
Pb 0.236 0.000 0.000
Pb 0.764 0.764 0.764